! VHgMoO6 (PBE with a Hubbard U, optimized geometry); values from VASP
! Magnetization: 1.00 μB/cell
! ρ: 5.89 g/cm3
! Raw total energy: -56.90 eV per formula unit
! Symmetry: P1, No. 1
&SYSTEM
  ibrav = 0, nat = 9, ntyp = 4
/
ATOMIC_SPECIES
V 50.94 V.upf
Hg 200.59 Hg.upf
Mo 95.94 Mo.upf
O 16.00 O.upf
CELL_PARAMETERS angstrom
5.1529 0.0000 0.0000
2.4004 4.6386 0.0000
1.0896 0.0448 5.2296
ATOMIC_POSITIONS crystal
V 0.0000 0.0000 0.0000
Hg 0.3398 0.3448 0.4552
Mo 0.6656 0.6878 0.9227
O 0.0124 0.3507 0.7563
O 0.2871 0.9840 0.1516
O 0.3679 0.7289 0.7578
O 0.6796 0.3396 0.1600
O 0.7962 0.9624 0.7516
O 0.9010 0.7493 0.1792